# 1
Computed, not measured: an optimized crystal structure of Pm5Ga2Se2 at the PBE level of DFT.

a b c (Å): 15.188 7.883 7.895
angles (deg): 90.00 90.00 90.00
Space group Cmce (No. 64)
One atom of each set of equivalent atoms:
Pm (0.000, 0.000, 0.000) [4 per cell]
Pm (0.140, 0.172, 0.336) [16 per cell]
Ga (0.000, 0.122, 0.618) [8 per cell]
Se (0.198, 0.000, 0.000) [8 per cell]

E_form (uncorrected) in eV/atom: -1.075
Total moment in μB per formula unit: 0.00

=====

# 2
Computed, not measured: an optimized crystal structure of PmGaSe2 at the PBE level of DFT.

a b c (Å): 5.872 4.252 8.212
angles (deg): 90.00 110.23 90.00
Space group P2_1/m (No. 11)
One atom of each set of equivalent atoms:
Pm (0.143, 0.250, 0.294) [2 per cell]
Ga (0.279, 0.250, 0.812) [2 per cell]
Se (0.265, 0.750, 0.073) [2 per cell]
Se (0.291, 0.750, 0.573) [2 per cell]

E_form (uncorrected) in eV/atom: -1.287
Total moment in μB per formula unit: 0.00

=====

# 3
Computed, not measured: an optimized crystal structure of PmGaSe2 at the PBE level of DFT.

a b c (Å): 3.8252 3.8252 25.8498
angles (deg): 90.00 90.00 120.00
Space group R-3m (No. 166, hexagonal axes)
One atom of each set of equivalent atoms:
Pm (0.0000, 0.0000, 0.0000) [3 per cell]
Ga (0.0000, 0.0000, 0.5000) [3 per cell]
Se (0.0000, 0.0000, 0.1106) [6 per cell]

E_form (uncorrected) in eV/atom: -0.526
Total moment in μB per formula unit: 0.00

=====

# 4
Computed, not measured: an optimized crystal structure of Pm6GaSe5 at the PBE level of DFT.

a b c (Å): 7.332 12.638 7.308
angles (deg): 90.00 109.42 90.00
Space group C2/m (No. 12)
One atom of each set of equivalent atoms:
Pm (0.244, 0.000, 0.255) [4 per cell]
Pm (0.245, 0.163, 0.746) [8 per cell]
Ga (0.000, 0.000, 0.500) [2 per cell]
Se (0.000, 0.168, 0.000) [4 per cell]
Se (0.000, 0.334, 0.500) [4 per cell]
Se (0.000, 0.500, 0.000) [2 per cell]

E_form (uncorrected) in eV/atom: -1.665
Total moment in μB per formula unit: 0.00

=====

# 5
Computed, not measured: an optimized crystal structure of PmGaSe2 at the PBE level of DFT.

a b c (Å): 4.3038 4.3038 26.0950
angles (deg): 90.00 90.00 120.00
Space group P3_221 (No. 154)
One atom of each set of equivalent atoms:
Pm (0.0000, 0.6711, 0.3333) [3 per cell]
Ga (0.0000, 0.6640, 0.8333) [3 per cell]
Se (0.0045, 0.6667, 0.7276) [6 per cell]

E_form (uncorrected) in eV/atom: -1.051
Total moment in μB per formula unit: 0.00

=====

# 6
Computed, not measured: an optimized crystal structure of Pm2GaSe at the PBE level of DFT.

a b c (Å): 4.074 5.983 8.870
angles (deg): 90.00 90.00 90.00
Space group Pmmn (No. 59, origin choice 2)
One atom of each set of equivalent atoms:
Pm (0.250, 0.250, 0.124) [2 per cell]
Pm (0.250, 0.250, 0.637) [2 per cell]
Ga (0.250, 0.750, 0.622) [2 per cell]
Se (0.250, 0.750, 0.119) [2 per cell]

Offset from the most stable computed form in eV per formula unit: 0.32
E_form (uncorrected) in eV/atom: -1.175
Total moment in μB per formula unit: 0.00

=====

# 7
Computed, not measured: an optimized crystal structure of Pm2GaSe at the PBE level of DFT.

a b c (Å): 3.552 3.552 7.836
angles (deg): 90.00 90.00 90.00
Space group P4/mmm (No. 123)
One atom of each set of equivalent atoms:
Pm (0.000, 0.000, 0.244) [2 per cell]
Ga (0.500, 0.500, 0.500) [1 per cell]
Se (0.500, 0.500, 0.000) [1 per cell]

Offset from the most stable computed form in eV per formula unit: 0.96
E_form (uncorrected) in eV/atom: -1.015
Total moment in μB per formula unit: 0.00

=====

# 8
Computed, not measured: an optimized crystal structure of Pm2GaSe at the PBE level of DFT.

a b c (Å): 4.359 23.167 4.144
angles (deg): 90.00 90.00 90.00
Space group Cmcm (No. 63)
One atom of each set of equivalent atoms:
Pm (0.000, 0.066, 0.250) [4 per cell]
Pm (0.000, 0.319, 0.250) [4 per cell]
Ga (0.000, 0.462, 0.250) [4 per cell]
Se (0.000, 0.192, 0.250) [4 per cell]

Offset from the most stable computed form in eV per formula unit: 0.00
E_form (uncorrected) in eV/atom: -1.256
Total moment in μB per formula unit: 0.00

=====

# 9
Computed, not measured: an optimized crystal structure of Pm2GaSe at the PBE level of DFT.

a b c (Å): 4.0930 4.0930 22.3787
angles (deg): 90.00 90.00 120.00
Space group R-3m (No. 166, hexagonal axes)
One atom of each set of equivalent atoms:
Pm (0.0000, 0.0000, 0.2480) [6 per cell]
Ga (0.0000, 0.0000, 0.0000) [3 per cell]
Se (0.0000, 0.0000, 0.5000) [3 per cell]

Offset from the most stable computed form in eV per formula unit: 0.25
E_form (uncorrected) in eV/atom: -1.192
Total moment in μB per formula unit: 0.00

=====

# 10
Computed, not measured: an optimized crystal structure of Pm3Ga5Se12 at the PBE level of DFT.

a b c (Å): 16.038 16.038 16.038
angles (deg): 90.00 90.00 90.00
Space group Ia-3d (No. 230)
One atom of each set of equivalent atoms:
Pm (0.000, 0.250, 0.125) [24 per cell]
Ga (0.000, 0.000, 0.000) [16 per cell]
Ga (0.000, 0.250, 0.375) [24 per cell]
Se (0.027, 0.059, 0.650) [96 per cell]

E_form (uncorrected) in eV/atom: -1.022
Total moment in μB per formula unit: 0.00

=====

# 11
Computed, not measured: an optimized crystal structure of Pm6GaSe4 at the PBE level of DFT.

a b c (Å): 4.122 13.861 21.283
angles (deg): 90.00 90.00 90.00
Space group Cmcm (No. 63)
One atom of each set of equivalent atoms:
Pm (0.000, 0.000, 0.000) [4 per cell]
Pm (0.000, 0.171, 0.250) [4 per cell]
Pm (0.000, 0.275, 0.585) [8 per cell]
Pm (0.000, 0.446, 0.167) [8 per cell]
Ga (0.000, 0.169, 0.750) [4 per cell]
Se (0.000, 0.086, 0.126) [8 per cell]
Se (0.000, 0.362, 0.041) [8 per cell]

E_form (uncorrected) in eV/atom: -1.442
Total moment in μB per formula unit: 0.31

=====

# 12
Computed, not measured: an optimized crystal structure of Pm8GaSe6 at the PBE level of DFT.

a b c (Å): 10.7642 10.7642 4.1958
angles (deg): 90.00 90.00 120.00
Space group P-3 (No. 147)
One atom of each set of equivalent atoms:
Pm (0.0341, 0.7152, 0.2477) [6 per cell]
Pm (0.3333, 0.6667, 0.7510) [2 per cell]
Ga (0.0000, 0.0000, 0.0000) [1 per cell]
Se (0.1305, 0.4827, 0.2494) [6 per cell]

E_form (uncorrected) in eV/atom: -1.346
Total moment in μB per formula unit: 0.00

=====

# 13
Computed, not measured: an optimized crystal structure of Pm2GaSe at the PBE level of DFT.

a b c (Å): 3.9696 3.9696 23.8787
angles (deg): 90.00 90.00 120.00
Space group R3m (No. 160, hexagonal axes)
One atom of each set of equivalent atoms:
Pm (0.0000, 0.0000, 0.0000) [3 per cell]
Pm (0.0000, 0.0000, 0.1657) [3 per cell]
Ga (0.0000, 0.0000, 0.5834) [3 per cell]
Se (0.0000, 0.0000, 0.4148) [3 per cell]

Offset from the most stable computed form in eV per formula unit: 0.60
E_form (uncorrected) in eV/atom: -1.107
Total moment in μB per formula unit: 0.00

=====

# 14
Computed, not measured: an optimized crystal structure of Pm3GaSe4 at the PBE level of DFT.

a b c (Å): 5.903 9.867 8.803
angles (deg): 90.00 90.00 90.00
Space group Pmmn (No. 59, origin choice 2)
One atom of each set of equivalent atoms:
Pm (0.250, 0.001, 0.163) [4 per cell]
Pm (0.250, 0.250, 0.682) [2 per cell]
Ga (0.250, 0.750, 0.657) [2 per cell]
Se (0.250, 0.250, 0.348) [2 per cell]
Se (0.250, 0.509, 0.836) [4 per cell]
Se (0.250, 0.750, 0.326) [2 per cell]

E_form (uncorrected) in eV/atom: -1.359
Total moment in μB per formula unit: 0.00

=====

# 15
Computed, not measured: an optimized crystal structure of PmGaSe3 at the PBE level of DFT.

a b c (Å): 13.012 9.137 4.385
angles (deg): 90.00 91.04 90.00
Space group C2/m (No. 12)
One atom of each set of equivalent atoms:
Pm (0.236, 0.000, 0.263) [4 per cell]
Ga (0.000, 0.308, 0.500) [4 per cell]
Se (0.102, 0.500, 0.240) [4 per cell]
Se (0.146, 0.197, 0.756) [8 per cell]

E_form (uncorrected) in eV/atom: -1.167
Total moment in μB per formula unit: 0.00

=====

# 16
Computed, not measured: an optimized crystal structure of Pm4GaTe2Se at the PBE level of DFT.

a b c (Å): 7.511 4.321 7.669
angles (deg): 90.00 108.90 90.00
Space group P2/m (No. 10)
One atom of each set of equivalent atoms:
Pm (0.239, 0.000, 0.229) [2 per cell]
Pm (0.252, 0.500, 0.775) [2 per cell]
Ga (0.000, 0.500, 0.000) [1 per cell]
Te (0.000, 0.000, 0.500) [1 per cell]
Te (0.500, 0.500, 0.500) [1 per cell]
Se (0.500, 0.000, 0.000) [1 per cell]

E_form (uncorrected) in eV/atom: -1.355
Total moment in μB per formula unit: 0.00

=====

# 17
Computed, not measured: an optimized crystal structure of Pm4GaTeSe2 at the PBE level of DFT.

a b c (Å): 7.441 4.231 7.542
angles (deg): 90.00 108.77 90.00
Space group P2/m (No. 10)
One atom of each set of equivalent atoms:
Pm (0.241, 0.000, 0.231) [2 per cell]
Pm (0.248, 0.500, 0.759) [2 per cell]
Ga (0.500, 0.000, 0.000) [1 per cell]
Te (0.500, 0.500, 0.500) [1 per cell]
Se (0.000, 0.000, 0.500) [1 per cell]
Se (0.000, 0.500, 0.000) [1 per cell]

E_form (uncorrected) in eV/atom: -1.431
Total moment in μB per formula unit: 0.00

=====

# 18
Computed, not measured: an optimized crystal structure of PmThGaSe at the PBE level of DFT.

a b c (Å): 4.261 4.261 6.004
angles (deg): 90.00 90.00 90.00
Space group P4/mmm (No. 123)
One atom of each set of equivalent atoms:
Pm (0.000, 0.000, 0.000) [1 per cell]
Th (0.500, 0.500, 0.500) [1 per cell]
Ga (0.000, 0.000, 0.500) [1 per cell]
Se (0.500, 0.500, 0.000) [1 per cell]

E_form (uncorrected) in eV/atom: -1.149
Total moment in μB per formula unit: 0.00

=====

# 19
Computed, not measured: an optimized crystal structure of PmTl2GaSe4 at the PBE level of DFT.

a b c (Å): 8.406 8.723 12.265
angles (deg): 90.00 90.00 90.00
Space group Imma (No. 74)
One atom of each set of equivalent atoms:
Pm (0.000, 0.000, 0.000) [4 per cell]
Tl (0.000, 0.000, 0.500) [4 per cell]
Tl (0.250, 0.250, 0.250) [4 per cell]
Ga (0.250, 0.250, 0.750) [4 per cell]
Se (0.000, 0.044, 0.758) [8 per cell]
Se (0.231, 0.250, 0.978) [8 per cell]

E_form (uncorrected) in eV/atom: -0.798
Total moment in μB per formula unit: 0.00